## Na3InF6 (PBEsol)

Data for a geometry-optimized Na3InF6 structure.

Cell: 5.6429 5.8692 9.7941 Å, 90.00 123.87 90.00°
With the nearest neighbours (Å) after each atom.
Fractional coordinates of all 20 atoms:
1 Na 0.0000 0.0000 0.0000  6 F 2.21-2.35
2 Na 0.0000 0.5000 0.5000  6 F 2.21-2.35
3 Na 0.2193 0.0578 0.7376  5 F 2.29-2.53
4 Na 0.2193 0.4422 0.2376  5 F 2.29-2.53
5 Na 0.7807 0.5578 0.7624  5 F 2.29-2.53
6 Na 0.7807 0.9422 0.2624  5 F 2.29-2.53
7 In 0.5000 0.0000 0.5000  6 F 2.08-2.09
8 In 0.5000 0.5000 0.0000  6 F 2.08-2.09
9 F 0.1414 0.1833 0.4434  1 In 2.08, 2 Na 2.21-2.29
10 F 0.1414 0.3167 0.9434  1 In 2.08, 2 Na 2.21-2.29
11 F 0.2370 0.7115 0.4141  1 In 2.09, 2 Na 2.30
12 F 0.2370 0.7885 0.9141  1 In 2.09, 2 Na 2.30
13 F 0.4007 0.0765 0.2652  1 In 2.09, 2 Na 2.30-2.33
14 F 0.4007 0.4235 0.7652  1 In 2.09, 2 Na 2.30-2.33
15 F 0.5993 0.5765 0.2348  1 In 2.09, 2 Na 2.30-2.33
16 F 0.5993 0.9235 0.7348  1 In 2.09, 2 Na 2.30-2.33
17 F 0.7630 0.2115 0.0859  1 In 2.09, 2 Na 2.30
18 F 0.7630 0.2885 0.5859  1 In 2.09, 2 Na 2.30
19 F 0.8586 0.6833 0.0566  1 In 2.08, 2 Na 2.21-2.29
20 F 0.8586 0.8167 0.5566  1 In 2.08, 2 Na 2.21-2.29

## Properties
Total DFT energy (no corrections) (eV/atom): -4.57